No. 1
Computed, not measured: a relaxed LiSi2Cl crystal at the PBE-GGA level of DFT.

Computed properties:
Excess energy over the best structure of this formula in the dataset = 726 meV/atom
Magnetic moment = 0.00 Bohr magnetons per cell
Density = 2.18 g/cm3
Formation energy from raw total energies = 0.05 eV per atom
DOS at the Fermi energy = 2.1 states/eV per cell

Unit cell a=2.915 b=4.699 c=5.469 alpha=90.00 beta=90.00 gamma=90.00
Space group Pmmm (No. 47)
Inequivalent atoms, fractional coordinates:
Li1 0.000 0.000 0.000 x1
Si1 0.500 0.241 0.500 x2
Cl1 0.000 0.500 0.000 x1


No. 2
Computed, not measured: a relaxed CsMgIBr2 crystal at the PBE-GGA level of DFT.

Computed properties:
Excess energy over the best structure of this formula in the dataset = 61 meV/atom
Magnetic moment = 0.00 Bohr magnetons per cell
Density = 3.74 g/cm3
Formation energy from raw total energies = -1.39 eV per atom
DOS at the Fermi energy = 0.0 states/eV per cell

Unit cell a=4.651 b=18.578 c=9.133 alpha=90.00 beta=90.00 gamma=90.00
Space group Cmcm (No. 63)
Inequivalent atoms, fractional coordinates:
Cs1 0.000 0.212 0.250 x4
Mg1 0.000 0.500 0.000 x4
I1 0.000 0.000 0.250 x4
Br1 0.000 0.366 0.005 x8


No. 3
Computed, not measured: a relaxed CaNbCu crystal at the PBE-GGA level of DFT.

Computed properties:
Excess energy over the best structure of this formula in the dataset = 190 meV/atom
Magnetic moment = 0.00 Bohr magnetons per cell
Density = 5.17 g/cm3
DOS at the Fermi energy = 7.2 states/eV per cell

Unit cell a=2.999 b=6.225 c=7.615 alpha=113.01 beta=90.14 gamma=103.86
Space group P-1 (No. 2)
Inequivalent atoms, fractional coordinates:
Ca1 0.148 0.314 0.119 x2
Nb1 0.466 0.067 0.675 x2
Cu1 0.176 0.346 0.525 x2


No. 4
Computed, not measured: a relaxed Cs2Na2AcO4 crystal at the PBE-GGA level of DFT.

Computed properties:
Magnetic moment = 2.10 Bohr magnetons per cell
Density = 5.05 g/cm3
Formation energy from raw total energies = -1.68 eV per atom
DOS at the Fermi energy = 13.6 states/eV per cell

Unit cell a=13.978 b=3.995 c=8.880 alpha=90.00 beta=126.92 gamma=90.00
Space group C2/m (No. 12)
Inequivalent atoms, fractional coordinates:
Cs1 0.171 0.000 0.263 x4
Na1 0.149 0.500 0.882 x4
Ac1 0.000 0.000 0.500 x2
O1 0.055 0.500 0.383 x4
O2 0.195 0.000 0.800 x4


No. 5
Computed, not measured: a relaxed LiBeSe2 crystal at the PBE-GGA level of DFT.

Computed properties:
Magnetic moment = 0.00 Bohr magnetons per cell
Density = 3.82 g/cm3
Formation energy from raw total energies = -0.74 eV per atom
DOS at the Fermi energy = 0.5 states/eV per cell

Unit cell a=3.129 b=3.739 c=6.455 alpha=90.00 beta=90.29 gamma=90.00
Space group Pm (No. 6)
Inequivalent atoms, fractional coordinates:
Li1 0.000 0.000 0.000 x1
Be1 0.005 0.500 0.407 x1
Se1 0.008 0.000 0.601 x1
Se2 0.502 0.500 0.158 x1


No. 6
Computed, not measured: a relaxed Ac4Pb3I crystal at the PBE-GGA level of DFT.

Computed properties:
Magnetic moment = 0.00 Bohr magnetons per cell
Density = 8.53 g/cm3
Formation energy from raw total energies = -0.67 eV per atom
DOS at the Fermi energy = 12.3 states/eV per cell

Unit cell a=6.842 b=6.842 c=13.770 alpha=90.00 beta=90.00 gamma=90.00
Space group I4/mmm (No. 139)
Inequivalent atoms, fractional coordinates:
Ac1 0.000 0.000 0.243 x4
Ac2 0.000 0.500 0.000 x4
Pb1 0.000 0.000 0.000 x2
Pb2 0.000 0.500 0.250 x4
I1 0.000 0.000 0.500 x2


No. 7
Computed, not measured: a relaxed CoRu4Se crystal at the PBE-GGA level of DFT.

Computed properties:
Magnetic moment = 18.90 Bohr magnetons per cell
Density = 9.55 g/cm3
Formation energy from raw total energies = 0.87 eV per atom
DOS at the Fermi energy = 34.3 states/eV per cell

Unit cell a=7.224 b=7.224 c=7.224 alpha=90.00 beta=90.00 gamma=90.00
Space group F-43m (No. 216)
Inequivalent atoms, fractional coordinates:
Co1 0.000 0.000 0.000 x4
Ru1 0.125 0.125 0.625 x16
Se1 0.250 0.250 0.250 x4


No. 8
Computed, not measured: a relaxed RbTlSnAu crystal at the PBE-GGA level of DFT.

Computed properties:
Magnetic moment = 0.00 Bohr magnetons per cell
Density = 7.26 g/cm3
Uncorrected energy = -2.871 eV per atom
DOS at the Fermi energy = 6.7 states/eV per cell

Unit cell a=4.6872 b=4.6872 c=21.8471 alpha=90.00 beta=90.00 gamma=120.00
Space group R3m (No. 160, hexagonal axes)
Inequivalent atoms, fractional coordinates:
Rb1 0.0000 0.0000 0.0000 x3
Tl1 0.0000 0.0000 0.7853 x3
Sn1 0.0000 0.0000 0.2147 x3
Au1 0.0000 0.0000 0.5193 x3


No. 9
Computed, not measured: a relaxed CeHoAg2 crystal at the PBE-GGA level of DFT.

Computed properties:
Excess energy over the best structure of this formula in the dataset = 0 meV/atom
Magnetic moment = 1.17 Bohr magnetons per cell
Density = 8.74 g/cm3
DOS at the Fermi energy = 7.8 states/eV per cell

Unit cell a=3.591 b=3.591 c=7.671 alpha=90.00 beta=90.00 gamma=90.00
Space group P4/mmm (No. 123)
Inequivalent atoms, fractional coordinates:
Ce1 0.000 0.000 0.000 x1
Ho1 0.000 0.000 0.500 x1
Ag1 0.500 0.500 0.272 x2


No. 10
Computed, not measured: a relaxed Ca2NdUO6 crystal at the PBE-GGA level of DFT.

Computed properties:
Magnetic moment = 3.00 Bohr magnetons per cell
Density = 5.95 g/cm3
Formation energy from raw total energies = -3.23 eV per atom

Unit cell a=5.9282 b=5.9282 c=15.3621 alpha=90.00 beta=90.00 gamma=120.00
Space group R3 (No. 146, hexagonal axes)
Inequivalent atoms, fractional coordinates:
Ca1 0.0000 0.0000 0.0000 x3
Ca2 0.0000 0.0000 0.4937 x3
Nd1 0.0000 0.0000 0.2759 x3
U1 0.0000 0.0000 0.7847 x3
O1 0.0096 0.3800 0.0505 x9
O2 0.0121 0.7264 0.8768 x9


No. 11
Computed, not measured: a relaxed Al2TcAgW crystal at the PBE-GGA level of DFT.

Computed properties:
Magnetic moment = 3.14 Bohr magnetons per cell
Density = 7.31 g/cm3
Uncorrected energy = -5.235 eV per atom
DOS at the Fermi energy = 5.4 states/eV per cell

Unit cell a=4.524 b=4.524 c=4.921 alpha=90.00 beta=90.00 gamma=90.00
Space group P4/mmm (No. 123)
Inequivalent atoms, fractional coordinates:
Al1 0.000 0.500 0.000 x2
Tc1 0.000 0.000 0.000 x1
Ag1 0.000 0.000 0.500 x1
W1 0.500 0.500 0.500 x1


No. 12
Computed, not measured: a relaxed RbGe2Ru2 crystal at the PBE-GGA level of DFT.

Computed properties:
Excess energy over the best structure of this formula in the dataset = 0 meV/atom
Magnetic moment = 0.00 Bohr magnetons per cell
Density = 5.91 g/cm3
DOS at the Fermi energy = 8.5 states/eV per cell

Unit cell a=4.387 b=4.387 c=12.630 alpha=90.00 beta=90.00 gamma=90.00
Space group I4/mmm (No. 139)
Inequivalent atoms, fractional coordinates:
Rb1 0.000 0.000 0.000 x2
Ge1 0.000 0.000 0.331 x4
Ru1 0.000 0.500 0.250 x4


No. 13
Computed, not measured: a relaxed La5TlRu crystal at the PBE-GGA level of DFT.

Computed properties:
Excess energy over the best structure of this formula in the dataset = 22 meV/atom
Magnetic moment = 0.00 Bohr magnetons per cell
Density = 7.33 g/cm3
DOS at the Fermi energy = 28.9 states/eV per cell

Unit cell a=10.695 b=7.383 c=12.128 alpha=90.00 beta=108.82 gamma=90.00
Space group C2/c (No. 15)
Inequivalent atoms, fractional coordinates:
La1 0.000 0.006 0.250 x4
La2 0.122 0.323 0.552 x8
La3 0.224 0.194 0.135 x8
Tl1 0.000 0.457 0.250 x4
Ru1 0.000 0.000 0.000 x4


No. 14
Computed, not measured: a relaxed KTe2Se2S6 crystal at the PBE-GGA level of DFT.

Computed properties:
Magnetic moment = 0.00 Bohr magnetons per cell
Density = 2.81 g/cm3
Formation energy from raw total energies = -0.07 eV per atom
DOS at the Fermi energy = 3.0 states/eV per cell

Unit cell a=6.876 b=7.839 c=8.282 alpha=107.09 beta=104.74 gamma=106.51
Space group P-1 (No. 2)
Inequivalent atoms, fractional coordinates:
K1 0.000 0.000 0.000 x1
Te1 0.469 0.387 0.756 x2
Se1 0.430 0.782 0.685 x2
S1 0.224 0.417 0.972 x2
S2 0.242 0.606 0.390 x2
S3 0.322 0.024 0.760 x2


No. 15
Computed, not measured: a relaxed SrMn2AsN2 crystal at the PBE-GGA level of DFT.

Computed properties:
Magnetic moment = 2.82 Bohr magnetons per cell
Density = 4.89 g/cm3
Formation energy from raw total energies = -0.54 eV per atom
DOS at the Fermi energy = 4.1 states/eV per cell

Unit cell a=6.160 b=4.913 c=7.198 alpha=90.00 beta=110.56 gamma=90.00
Space group P2_1/m (No. 11)
Inequivalent atoms, fractional coordinates:
Sr1 0.182 0.250 0.352 x2
Mn1 0.372 0.000 0.813 x4
As1 0.272 0.750 0.060 x2
N1 0.157 0.250 0.709 x2
N2 0.397 0.750 0.645 x2


No. 16
Computed, not measured: a relaxed TbErGaNi crystal at the PBE-GGA level of DFT.

Computed properties:
Excess energy over the best structure of this formula in the dataset = 0 meV/atom
Magnetic moment = 0.00 Bohr magnetons per cell
Density = 8.66 g/cm3
DOS at the Fermi energy = 6.8 states/eV per cell

Unit cell a=4.345 b=3.719 c=10.790 alpha=90.00 beta=90.00 gamma=90.00
Space group Amm2 (No. 38)
Inequivalent atoms, fractional coordinates:
Tb1 0.000 0.000 0.000 x2
Er1 0.500 0.000 0.716 x2
Ga1 0.500 0.000 0.428 x2
Ni1 0.000 0.000 0.290 x2


No. 17
Computed, not measured: a relaxed Ce8InAu2 crystal at the PBE-GGA level of DFT.

Computed properties:
Excess energy over the best structure of this formula in the dataset = 34 meV/atom
Magnetic moment = 13.71 Bohr magnetons per cell
Density = 9.03 g/cm3
DOS at the Fermi energy = 70.4 states/eV per cell

Unit cell a=5.064 b=9.018 c=13.123 alpha=90.00 beta=90.00 gamma=90.00
Space group Immm (No. 71)
Inequivalent atoms, fractional coordinates:
Ce1 0.000 0.000 0.185 x4
Ce2 0.000 0.220 0.334 x8
Ce3 0.000 0.283 0.000 x4
In1 0.000 0.500 0.500 x2
Au1 0.000 0.500 0.173 x4


No. 18
Computed, not measured: a relaxed PrPtS2 crystal at the PBE-GGA level of DFT.

Computed properties:
Magnetic moment = 0.00 Bohr magnetons per cell
Density = 6.98 g/cm3
Formation energy from raw total energies = -0.39 eV per atom
DOS at the Fermi energy = 9.9 states/eV per cell

Unit cell a=3.6745 b=3.6745 c=24.4119 alpha=90.00 beta=90.00 gamma=120.00
Space group R-3m (No. 166, hexagonal axes)
Inequivalent atoms, fractional coordinates:
Pr1 0.0000 0.0000 0.0000 x3
Pt1 0.0000 0.0000 0.5000 x3
S1 0.0000 0.0000 0.1166 x6


No. 19
Computed, not measured: a relaxed HfZnTc4 crystal at the PBE-GGA level of DFT.

Computed properties:
Magnetic moment = 0.00 Bohr magnetons per cell
Density = 10.76 g/cm3
Uncorrected energy = -8.798 eV per atom
DOS at the Fermi energy = 25.5 states/eV per cell

Unit cell a=7.323 b=7.323 c=7.323 alpha=90.00 beta=90.00 gamma=90.00
Space group F-43m (No. 216)
Inequivalent atoms, fractional coordinates:
Hf1 0.000 0.000 0.000 x4
Zn1 0.250 0.250 0.750 x4
Tc1 0.124 0.124 0.376 x16


No. 20
Computed, not measured: a relaxed K2RuRh crystal at the PBE-GGA level of DFT.

Computed properties:
Excess energy over the best structure of this formula in the dataset = 543 meV/atom
Magnetic moment = 1.44 Bohr magnetons per cell
Density = 5.62 g/cm3
DOS at the Fermi energy = 9.6 states/eV per cell

Unit cell a=5.519 b=10.973 c=2.783 alpha=90.00 beta=98.35 gamma=90.00
Space group C2/m (No. 12)
Inequivalent atoms, fractional coordinates:
K1 0.250 0.250 0.000 x4
Ru1 0.000 0.000 0.500 x2
Rh1 0.000 0.500 0.500 x2